1.
# La2CeSb

An optimized crystal structure of La2CeSb (GGA-PBE, the Alexandria database).

Results
The crystal system is cubic. The formation energy (no corrections) is -29.1 kJ/mol of atoms. As for the uncorrected energy: -5.279 eV/atom. The value obtained for the energy above the most stable polymorph in this dataset is 102 kJ/mol of formula units.

```
La2CeSb
1.0
7.883 0.000 0.000
0.000 7.883 0.000
0.000 0.000 7.883
La Ce Sb
8 4 4
Direct
0.250 0.250 0.250
0.250 0.250 0.750
0.250 0.750 0.250
0.250 0.750 0.750
0.750 0.250 0.250
0.750 0.250 0.750
0.750 0.750 0.250
0.750 0.750 0.750
0.000 0.000 0.000
0.000 0.500 0.500
0.500 0.000 0.500
0.500 0.500 0.000
0.000 0.000 0.500
0.000 0.500 0.000
0.500 0.000 0.000
0.500 0.500 0.500
```



2.
# BaLi2Sc

An optimized crystal structure of BaLi2Sc (GGA-PBE, the Alexandria database).

Results
The crystal system is monoclinic. As for the uncorrected energy: -2.714 eV/atom. The value obtained for the energy above the most stable polymorph in this dataset is 29 kJ/mol of formula units.

```
BaLi2Sc
1.0
10.920 0.000 0.000
0.000 3.510 0.000
-0.910 0.000 6.422
Ba Li Sc
2 4 2
Direct
0.000 0.000 0.000
0.500 0.500 0.000
0.240 0.000 0.684
0.260 0.500 0.316
0.740 0.500 0.684
0.760 0.000 0.316
0.000 0.500 0.500
0.500 0.000 0.500
```



3.
# RePdRh

An optimized crystal structure of RePdRh (GGA-PBE, the Alexandria database).

Results
The crystal system is orthorhombic. As for the uncorrected energy: -8.345 eV/atom. The value obtained for the energy above the most stable polymorph in this dataset is 8 kJ/mol of formula units.

```
RePdRh
1.0
3.928 0.000 0.000
0.000 11.595 0.000
0.000 0.000 3.910
Re Pd Rh
4 4 4
Direct
0.000 0.073 0.250
0.000 0.927 0.750
0.500 0.427 0.750
0.500 0.573 0.250
0.000 0.253 0.750
0.000 0.747 0.250
0.500 0.247 0.250
0.500 0.753 0.750
0.000 0.424 0.250
0.000 0.576 0.750
0.500 0.076 0.750
0.500 0.924 0.250
```



4.
# LiEuYSn

An optimized crystal structure of LiEuYSn (GGA-PBE, the Alexandria database).

Results
The crystal system is cubic. As for the uncorrected energy: -6.089 eV/atom.

```
LiEuYSn
1.0
7.590 0.000 0.000
0.000 7.590 0.000
0.000 0.000 7.590
Li Eu Y Sn
4 4 4 4
Direct
0.000 0.000 0.000
0.000 0.500 0.500
0.500 0.000 0.500
0.500 0.500 0.000
0.250 0.250 0.750
0.250 0.750 0.250
0.750 0.250 0.250
0.750 0.750 0.750
0.250 0.250 0.250
0.250 0.750 0.750
0.750 0.250 0.750
0.750 0.750 0.250
0.000 0.000 0.500
0.000 0.500 0.000
0.500 0.000 0.000
0.500 0.500 0.500
```



5.
# Rb8HgAs2

An optimized crystal structure of Rb8HgAs2 (GGA-PBE, the Alexandria database).

Results
The crystal system is orthorhombic. As for the uncorrected energy: -1.753 eV/atom.

```
Rb8HgAs2
1.0
-2.918 5.001 8.701
2.918 -5.001 8.701
2.918 5.001 -8.701
Rb Hg As
8 1 2
Direct
0.125 0.336 0.789
0.159 0.159 0.000
0.321 0.000 0.321
0.452 0.664 0.789
0.548 0.336 0.211
0.679 0.000 0.679
0.841 0.841 0.000
0.875 0.664 0.211
0.000 0.500 0.500
0.306 0.806 0.500
0.694 0.194 0.500
```



6.
# AcTc2TeO8

An optimized crystal structure of AcTc2TeO8 (GGA-PBE, the Alexandria database).

Results
The crystal system is monoclinic. The formation energy (no corrections) is -144.3 kJ/mol of atoms. As for the uncorrected energy: -7.133 eV/atom.

```
AcTc2TeO8
1.0
3.632 -3.461 0.000
3.632 3.461 0.000
-0.104 0.000 6.818
Ac Tc Te O
1 2 1 8
Direct
0.000 0.000 0.000
0.490 0.490 0.740
0.510 0.510 0.260
0.000 0.000 0.500
0.209 0.779 0.277
0.221 0.791 0.723
0.324 0.324 0.506
0.337 0.337 0.977
0.663 0.663 0.023
0.676 0.676 0.494
0.779 0.209 0.277
0.791 0.221 0.723
```



7.
# MgZnPt2

An optimized crystal structure of MgZnPt2 (GGA-PBE, the Alexandria database).

Results
The crystal system is tetragonal. As for the uncorrected energy: -4.126 eV/atom.

```
MgZnPt2
1.0
2.853 0.000 0.000
0.000 2.853 0.000
0.000 0.000 7.863
Mg Zn Pt
1 1 2
Direct
0.000 0.000 0.000
0.500 0.500 0.715
0.000 0.000 0.494
0.500 0.500 0.231
```



8.
# BiP2AuCl

An optimized crystal structure of BiP2AuCl (GGA-PBE, the Alexandria database).

Results
The crystal system is tetragonal. The formation energy (no corrections) is 57.6 kJ/mol of atoms. As for the uncorrected energy: -3.368 eV/atom. The value obtained for the energy above the most stable polymorph in this dataset is 0 kJ/mol of formula units.

```
BiP2AuCl
1.0
4.905 0.000 0.000
0.000 4.905 0.000
0.000 0.000 4.872
Bi P Au Cl
1 2 1 1
Direct
0.000 0.000 0.000
0.000 0.500 0.500
0.500 0.000 0.500
0.500 0.500 0.500
0.500 0.500 0.000
```